# VBiP2O PBE with a Hubbard U optimized geometry
# Final energy: -5.56 eV/atom
data_VBiP2O
_chemical_formula_sum 'V1 Bi1 P2 O1'
_symmetry_space_group_name_H-M 'P 1'
_symmetry_Int_Tables_number 1
_symmetry_space_group_name_Hall 'P 1'
_cell_length_a 4.891
_cell_length_b 4.891
_cell_length_c 3.661
_cell_angle_alpha 90.00
_cell_angle_beta 90.00
_cell_angle_gamma 90.00
loop_
_atom_site_label
_atom_site_fract_x
_atom_site_fract_y
_atom_site_fract_z
V1 0.000 0.000 0.000
Bi1 0.500 0.500 0.500
P1 0.000 0.500 0.000
P2 0.500 0.000 0.000
O1 0.000 0.000 0.500